# 1
## Cs2Zn2Se2S (PBE)

Data for a relaxed Cs2Zn2Se2S crystal.

Computed properties:
Space-group type: C2/m

a = 7.9521 Å, b = 7.9521 Å, c = 10.1550 Å
α = 128.99°, β = 128.99°, γ = 29.93°
Element x y z (fractional)
Cs1 0.0037 0.0037 0.2804
Cs2 0.9963 0.9963 0.7196
Zn1 0.3064 0.3064 0.8099
Zn2 0.6936 0.6936 0.1901
Se1 0.3032 0.3032 0.3010
Se2 0.6968 0.6968 0.6990
S1 0.5000 0.5000 0.0000



# 2
## Cs2ZnSeS (PBE)

Data for a relaxed Cs2ZnSeS crystal.

Computed properties:
Space-group type: P2_1/m

a = 8.2716 Å, b = 4.2596 Å, c = 11.5243 Å
α = 90.00°, β = 109.78°, γ = 90.00°
Element x y z (fractional)
Cs1 0.1755 0.2500 0.3992
Cs2 0.2170 0.2500 0.9540
Cs3 0.7830 0.7500 0.0460
Cs4 0.8245 0.7500 0.6008
Zn1 0.4977 0.2500 0.7401
Zn2 0.5023 0.7500 0.2599
Se1 0.3256 0.7500 0.6990
Se2 0.6744 0.2500 0.3010
S1 0.2180 0.7500 0.1845
S2 0.7820 0.2500 0.8155



# 3
## CsZrSeS2 (PBE)

Data for a relaxed CsZrSeS2 crystal.

Computed properties:
Space-group type: P4/mmm

a = 5.1298 Å, b = 5.1298 Å, c = 5.3661 Å
α = 90.00°, β = 90.00°, γ = 90.00°
Element x y z (fractional)
Cs1 0.0000 0.0000 0.0000
Zr1 0.5000 0.5000 0.5000
Se1 0.5000 0.5000 0.0000
S1 0.0000 0.5000 0.5000
S2 0.5000 0.0000 0.5000



# 4
## CsSiS3 (PBE)

Data for a relaxed CsSiS3 crystal.

Computed properties:
Space-group type: C2/c

a = 9.3524 Å, b = 9.3524 Å, c = 10.3143 Å
α = 100.25°, β = 100.25°, γ = 105.78°
Element x y z (fractional)
Cs1 0.0965 0.9035 0.7500
Cs2 0.2840 0.7160 0.2500
Cs3 0.7160 0.2840 0.7500
Cs4 0.9035 0.0965 0.2500
Si1 0.1672 0.4181 0.7298
Si2 0.4181 0.1672 0.2298
Si3 0.5819 0.8328 0.7702
Si4 0.8328 0.5819 0.2702
S1 0.0241 0.2187 0.6085
S2 0.1334 0.5714 0.8724
S3 0.2187 0.0241 0.1085
S4 0.3825 0.4461 0.6751
S5 0.4286 0.8666 0.6276
S6 0.4461 0.3825 0.1751
S7 0.5539 0.6175 0.8249
S8 0.5714 0.1334 0.3724
S9 0.6175 0.5539 0.3249
S10 0.7813 0.9759 0.8915
S11 0.8666 0.4286 0.1276
S12 0.9759 0.7813 0.3915



# 5
## CsSiS3 (PBE)

Data for a relaxed CsSiS3 crystal.

Computed properties:
Space-group type: Pm-3m

a = 4.8110 Å, b = 4.8110 Å, c = 4.8110 Å
α = 90.00°, β = 90.00°, γ = 90.00°
Element x y z (fractional)
Cs1 0.0000 0.0000 0.0000
Si1 0.5000 0.5000 0.5000
S1 0.0000 0.5000 0.5000
S2 0.5000 0.0000 0.5000
S3 0.5000 0.5000 0.0000



# 6
## CsSi2S (PBE)

Data for a relaxed CsSi2S crystal.

Computed properties:
Space-group type: I4_1/amd

a = 9.7170 Å, b = 9.7170 Å, c = 9.7170 Å
α = 150.43°, β = 150.43°, γ = 42.32°
Element x y z (fractional)
Cs1 0.3750 0.6250 0.7500
Cs2 0.6250 0.3750 0.2500
Si1 0.0000 0.0000 0.0000
Si2 0.0000 0.0000 0.5000
Si3 0.0000 0.5000 0.0000
Si4 0.5000 0.0000 0.5000
S1 0.1250 0.8750 0.2500
S2 0.8750 0.1250 0.7500



| no. | E_form (uncorrected) (eV/atom) | ρ (g/cm3) |
| --- | --- | --- |
| 1 | -0.90 | 4.01 |
| 2 | -0.98 | 3.84 |
| 3 | -1.15 | 4.32 |
| 4 | -0.74 | 2.06 |
| 5 | -0.21 | 3.84 |
| 6 | 0.10 | 3.29 |